[1]
# LaGe3Pd3 | Alexandria via LeMat-Bulk | PBE-GGA | optimized geometry
# crystal system = trigonal
# relative energy among the computed polymorphs = 0.0 meV/atom
# mass density = 8.04 g/cm3
# magnetization = 0.00 μB/f.u.
# DOS at the Fermi energy = 9.1 states/eV per cell
# formation enthalpy at 0 K = -0.507 eV/atom
# calculated total energy = -0.398 Ry/atom
data_LaGe3Pd3
_cell_length_a 6.735
_cell_length_b 6.735
_cell_length_c 8.101
_cell_angle_alpha 65.44
_cell_angle_beta 65.44
_cell_angle_gamma 60.00
_symmetry_space_group_name_H-M 'P 1'
_symmetry_Int_Tables_number 1
_symmetry_space_group_name_Hall 'P 1'
loop_
_atom_site_label
_atom_site_type_symbol
_atom_site_fract_x
_atom_site_fract_y
_atom_site_fract_z
Pd1 Pd 0.556 0.749 0.620
Pd2 Pd 0.444 0.251 0.380
Pd3 Pd 0.925 0.444 0.380
Pd4 Pd 0.075 0.556 0.620
Pd5 Pd 0.749 0.075 0.620
Pd6 Pd 0.251 0.925 0.380
Ge1 Ge 0.112 0.831 0.746
Ge2 Ge 0.888 0.169 0.254
Ge3 Ge 0.311 0.112 0.746
Ge4 Ge 0.169 0.689 0.254
Ge5 Ge 0.689 0.888 0.254
Ge6 Ge 0.831 0.311 0.746
La1 La 0.335 0.335 0.996
La2 La 0.665 0.665 0.004


[2]
# La2Ge4Pd3 | Alexandria via LeMat-Bulk | PBE-GGA | optimized geometry
# crystal system = orthorhombic
# mass density = 8.31 g/cm3
# magnetization = 0.00 μB/f.u.
# DOS at the Fermi energy = 9.7 states/eV per cell
# formation enthalpy at 0 K = -0.764 eV/atom
# calculated total energy = -0.415 Ry/atom
data_La2Ge4Pd3
_cell_length_a 5.908
_cell_length_b 7.720
_cell_length_c 8.316
_cell_angle_alpha 90.00
_cell_angle_beta 110.81
_cell_angle_gamma 90.00
_symmetry_space_group_name_H-M 'P 1'
_symmetry_Int_Tables_number 1
_symmetry_space_group_name_Hall 'P 1'
loop_
_atom_site_label
_atom_site_type_symbol
_atom_site_fract_x
_atom_site_fract_y
_atom_site_fract_z
La1 La 0.609 0.907 0.218
La2 La 0.391 0.093 0.782
La3 La 0.891 0.407 0.782
La4 La 0.109 0.593 0.218
Ge1 Ge 0.818 0.021 0.636
Ge2 Ge 0.682 0.521 0.364
Ge3 Ge 0.191 0.750 0.882
Ge4 Ge 0.182 0.979 0.364
Ge5 Ge 0.691 0.750 0.882
Ge6 Ge 0.809 0.250 0.118
Ge7 Ge 0.309 0.250 0.118
Ge8 Ge 0.318 0.479 0.636
Pd1 Pd 0.473 0.250 0.446
Pd2 Pd 0.973 0.250 0.446
Pd3 Pd 0.500 0.500 0.000
Pd4 Pd 0.000 0.000 0.000
Pd5 Pd 0.527 0.750 0.554
Pd6 Pd 0.027 0.750 0.554


[3]
# La3GePd | Alexandria via LeMat-Bulk | PBE-GGA | optimized geometry
# crystal system = orthorhombic
# relative energy among the computed polymorphs = 16.3 meV/atom
# mass density = 6.85 g/cm3
# magnetization = 0.00 μB/f.u.
# DOS at the Fermi energy = 11.3 states/eV per cell
# formation enthalpy at 0 K = -0.628 eV/atom
# calculated total energy = -0.408 Ry/atom
data_La3GePd
_cell_length_a 4.319
_cell_length_b 7.053
_cell_length_c 9.479
_cell_angle_alpha 89.98
_cell_angle_beta 90.00
_cell_angle_gamma 90.00
_symmetry_space_group_name_H-M 'P 1'
_symmetry_Int_Tables_number 1
_symmetry_space_group_name_Hall 'P 1'
loop_
_atom_site_label
_atom_site_type_symbol
_atom_site_fract_x
_atom_site_fract_y
_atom_site_fract_z
Ge1 Ge 0.250 0.477 0.250
Ge2 Ge 0.750 0.523 0.750
La1 La 0.250 0.728 0.553
La2 La 0.750 0.272 0.447
La3 La 0.750 0.272 0.053
La4 La 0.250 0.728 0.947
La5 La 0.750 0.791 0.250
La6 La 0.250 0.209 0.750
Pd1 Pd 0.750 0.914 0.750
Pd2 Pd 0.250 0.086 0.250


[4]
# La3Ge2Pd | Alexandria via LeMat-Bulk | PBE-GGA | optimized geometry
# crystal system = orthorhombic
# mass density = 6.78 g/cm3
# magnetization = 0.75 μB/f.u.
# DOS at the Fermi energy = 17.1 states/eV per cell
# formation enthalpy at 0 K = -0.864 eV/atom
# calculated total energy = -0.421 Ry/atom
data_La3Ge2Pd
_cell_length_a 4.488
_cell_length_b 11.965
_cell_length_c 12.188
_cell_angle_alpha 90.00
_cell_angle_beta 90.00
_cell_angle_gamma 90.00
_symmetry_space_group_name_H-M 'P 1'
_symmetry_Int_Tables_number 1
_symmetry_space_group_name_Hall 'P 1'
loop_
_atom_site_label
_atom_site_type_symbol
_atom_site_fract_x
_atom_site_fract_y
_atom_site_fract_z
Pd1 Pd 0.750 0.628 0.374
Pd2 Pd 0.250 0.372 0.626
Pd3 Pd 0.250 0.128 0.126
Pd4 Pd 0.750 0.872 0.874
La1 La 0.250 0.057 0.878
La2 La 0.750 0.943 0.122
La3 La 0.750 0.628 0.946
La4 La 0.250 0.807 0.718
La5 La 0.250 0.443 0.378
La6 La 0.750 0.307 0.782
La7 La 0.250 0.372 0.054
La8 La 0.750 0.872 0.446
La9 La 0.250 0.128 0.554
La10 La 0.750 0.557 0.622
La11 La 0.750 0.193 0.282
La12 La 0.250 0.693 0.218
Ge1 Ge 0.750 0.189 0.016
Ge2 Ge 0.250 0.500 0.809
Ge3 Ge 0.750 0.500 0.191
Ge4 Ge 0.250 0.811 0.984
Ge5 Ge 0.250 0.689 0.484
Ge6 Ge 0.750 0.311 0.516
Ge7 Ge 0.250 0.000 0.309
Ge8 Ge 0.750 0.000 0.691


[5]
# LaGePd3 | Alexandria via LeMat-Bulk | PBE-GGA | optimized geometry
# crystal system = tetragonal
# relative energy among the computed polymorphs = 1.5 meV/atom
# mass density = 8.99 g/cm3
# magnetization = 0.00 μB/f.u.
# DOS at the Fermi energy = 2.1 states/eV per cell
# formation enthalpy at 0 K = -0.788 eV/atom
# calculated total energy = -0.427 Ry/atom
data_LaGePd3
_cell_length_a 4.175
_cell_length_b 4.175
_cell_length_c 6.350
_cell_angle_alpha 70.83
_cell_angle_beta 70.83
_cell_angle_gamma 90.04
_symmetry_space_group_name_H-M 'P 1'
_symmetry_Int_Tables_number 1
_symmetry_space_group_name_Hall 'P 1'
loop_
_atom_site_label
_atom_site_type_symbol
_atom_site_fract_x
_atom_site_fract_y
_atom_site_fract_z
Pd1 Pd 0.644 0.947 0.418
Pd2 Pd 0.806 0.610 0.092
Pd3 Pd 0.144 0.447 0.418
Ge1 Ge 0.024 0.828 0.658
La1 La 0.390 0.193 0.925


[6]
# LaPmGePd | Alexandria via LeMat-Bulk | PBE-GGA | optimized geometry
# crystal system = cubic
# relative energy among the computed polymorphs = 81.6 meV/atom
# mass density = 7.69 g/cm3
# magnetization = 0.00 μB/f.u.
# DOS at the Fermi energy = 1.8 states/eV per cell
# formation enthalpy at 0 K = -0.739 eV/atom
# calculated total energy = -0.412 Ry/atom
data_LaPmGePd
_cell_length_a 5.210
_cell_length_b 5.210
_cell_length_c 5.210
_cell_angle_alpha 60.00
_cell_angle_beta 60.00
_cell_angle_gamma 60.00
_symmetry_space_group_name_H-M 'P 1'
_symmetry_Int_Tables_number 1
_symmetry_space_group_name_Hall 'P 1'
loop_
_atom_site_label
_atom_site_type_symbol
_atom_site_fract_x
_atom_site_fract_y
_atom_site_fract_z
Ge1 Ge 0.250 0.250 0.250
Pd1 Pd 0.750 0.750 0.750
La1 La 0.500 0.500 0.500
Pm1 Pm 0.000 0.000 0.000


Which value of magnetization does entry 1 give?
0.00 μB/f.u.


Which of these has the highest mass density?
LaGePd3